Material: BaTc2Sb
Method: DFT, PBE
State: relaxed

```
BaTc2Sb
1.0
-1.146 4.905 0.110
-4.620 1.538 -1.296
-3.143 1.775 3.516
Ba Sb Tc
1 1 2
direct
0.500 0.500 0.500
0.750 0.750 0.750
0.000 0.000 0.000
0.250 0.250 0.250
```

DOS(E_F) = 0.932 states/eV per atom
theoretical density = 8.4 Mg/m³
formation energy without anion corrections = 93 kJ/mol of atoms

Material: BaTc2Sb
Method: DFT, PBE
State: relaxed

```
BaTc2Sb
1.0
9.190 0.025 0.015
8.568 3.323 0.015
8.568 1.615 2.904
Ba Sb Tc
1 1 2
direct
0.250 0.250 0.250
0.750 0.750 0.750
0.014 0.014 0.014
0.486 0.486 0.486
```

DOS(E_F) = 0.529 states/eV per atom
theoretical density = 8.6 Mg/m³
formation energy without anion corrections = 83 kJ/mol of atoms

Material: BaTcSb
Method: DFT, PBE
State: relaxed

```
BaTcSb
1.0
5.464 0.000 0.000
2.732 4.732 0.000
2.732 1.577 4.461
Ba Sb Tc
1 1 1
direct
0.750 0.750 0.750
0.000 0.000 0.000
0.500 0.500 0.500
```

energy above the most stable polymorph in this dataset = 1259.4 meV per atom
DOS(E_F) = 1.592 states/eV per atom
theoretical density = 5.1 Mg/m³
formation energy without anion corrections = 124 kJ/mol of atoms

Material: BaTcSbTe2
Method: DFT, PBE
State: relaxed

```
BaTcSbTe2
1.0
-4.871 0.999 2.619
-0.026 -5.268 1.960
2.538 1.527 4.139
Sb Te Ba Tc
1 2 1 1
direct
0.000 0.000 0.500
0.000 0.500 0.000
0.500 0.000 0.000
0.500 0.500 0.500
0.000 0.000 0.000
```

energy above the most stable polymorph in this dataset = 0.0 meV per atom
DOS(E_F) = 0.595 states/eV per atom
theoretical density = 6.3 Mg/m³
formation energy without anion corrections = -29 kJ/mol of atoms

Material: BaTcSbTe2
Method: DFT, PBE
State: relaxed

```
BaTcSbTe2
1.0
6.343 0.000 0.000
0.000 6.343 0.000
0.000 0.000 6.342
Sb Te Ba Tc
1 2 1 1
direct
0.000 0.000 0.500
0.000 0.500 0.000
0.500 0.000 0.000
0.000 0.000 0.000
0.500 0.500 0.500
```

energy above the most stable polymorph in this dataset = 1683.4 meV per atom
DOS(E_F) = 1.539 states/eV per atom
theoretical density = 4.0 Mg/m³
formation energy without anion corrections = 134 kJ/mol of atoms

Material: BaV2TcSb
Method: DFT, PBE
State: relaxed

```
BaV2TcSb
1.0
-1.727 3.405 -3.279
-4.725 -0.736 1.724
0.680 3.634 3.416
Sb V Ba Tc
1 2 1 1
direct
0.000 0.000 0.000
0.000 0.000 0.500
0.500 0.000 0.000
0.500 0.500 0.500
0.000 0.500 0.000
```

DOS(E_F) = 1.717 states/eV per atom
theoretical density = 5.9 Mg/m³
formation energy without anion corrections = 125 kJ/mol of atoms

Material: Ba2SbTe
Method: DFT, PBE
State: relaxed

```
Ba2SbTe
1.0
-2.573 -2.200 6.128
-5.237 -3.389 3.179
2.913 -5.056 -0.592
Ba Sb Te
2 1 1
direct
0.992 0.992 0.125
0.757 0.757 0.625
0.495 0.495 0.625
0.256 0.256 0.125
```

energy above the most stable polymorph in this dataset = 120.5 meV per atom
DOS(E_F) = 0.835 states/eV per atom
theoretical density = 5.3 Mg/m³
formation energy without anion corrections = -113 kJ/mol of atoms

Material: BaSbTe2
Method: DFT, PBE
State: relaxed

```
BaSbTe2
1.0
4.784 -0.181 0.000
0.181 4.784 0.000
0.000 0.000 6.949
Ba Sb Te
1 1 2
direct
0.000 0.000 0.387
0.500 0.500 0.905
0.000 0.000 0.886
0.500 0.500 0.322
```

DOS(E_F) = 0.499 states/eV per atom
theoretical density = 5.4 Mg/m³
formation energy without anion corrections = -75 kJ/mol of atoms

Material: Ba2SbTe
Method: DFT, PBE
State: relaxed

```
Ba2SbTe
1.0
-0.459 6.194 0.232
-6.116 -0.415 -1.024
-0.642 -0.194 3.914
Ba Sb Te
2 1 1
direct
0.000 0.000 0.000
0.500 0.500 0.000
0.500 0.000 0.500
0.000 0.500 0.500
```

energy above the most stable polymorph in this dataset = 101.7 meV per atom
DOS(E_F) = 0.381 states/eV per atom
theoretical density = 5.7 Mg/m³
formation energy without anion corrections = -115 kJ/mol of atoms

Material: BaSbTe2
Method: DFT, PBE
State: relaxed

```
BaSbTe2
1.0
6.303 0.035 -0.026
4.665 4.238 -0.026
3.146 1.226 5.282
Ba Sb Te
1 1 2
direct
0.750 0.750 0.750
0.250 0.250 0.250
0.955 0.955 0.046
0.545 0.545 0.454
```

DOS(E_F) = 0.667 states/eV per atom
theoretical density = 6.1 Mg/m³
formation energy without anion corrections = -72 kJ/mol of atoms

Material: BaSbTe2
Method: DFT, PBE
State: relaxed

```
BaSbTe2
1.0
-6.728 3.362 -1.004
-4.975 1.835 -5.428
-7.083 -1.449 -2.306
Ba Sb Te
1 1 2
direct
0.250 0.250 0.250
0.750 0.750 0.750
0.013 0.013 0.013
0.487 0.487 0.487
```

DOS(E_F) = 0.424 states/eV per atom
theoretical density = 5.6 Mg/m³
formation energy without anion corrections = -68 kJ/mol of atoms

Material: BaSbTe2
Method: DFT, PBE
State: relaxed

```
BaSbTe2
1.0
4.319 0.000 0.000
0.000 4.326 -0.539
0.000 1.022 8.117
Ba Sb Te
1 1 2
direct
0.500 0.250 0.250
0.500 0.750 0.750
0.000 0.750 0.015
0.000 0.750 0.485
```

DOS(E_F) = 0.234 states/eV per atom
theoretical density = 5.5 Mg/m³
formation energy without anion corrections = -73 kJ/mol of atoms

Material: BaSbTe2
Method: DFT, PBE
State: relaxed

```
BaSbTe2
1.0
5.148 0.000 0.000
0.000 4.927 0.136
0.000 2.684 6.522
Ba Sb Te
1 1 2
direct
0.000 0.613 0.448
0.500 0.766 0.795
0.000 0.954 0.896
0.500 0.167 0.361
```

DOS(E_F) = 0.257 states/eV per atom
theoretical density = 5.2 Mg/m³
formation energy without anion corrections = -79 kJ/mol of atoms

Material: Ba2SbTe
Method: DFT, PBE
State: relaxed

```
Ba2SbTe
1.0
0.000 4.264 4.264
4.264 0.000 4.264
4.264 4.264 0.000
Sb Te Ba
1 1 2
direct
0.000 0.000 0.000
0.500 0.500 0.500
0.250 0.250 0.250
0.750 0.750 0.750
```

energy above the most stable polymorph in this dataset = 161.1 meV per atom
DOS(E_F) = 1.644 states/eV per atom
theoretical density = 5.6 Mg/m³
formation energy without anion corrections = -109 kJ/mol of atoms

Material: Ba2Sb2Te5
Method: DFT, PBE
State: relaxed

```
Ba2Sb2Te5
1.0
-6.534 3.950 -4.054
-4.254 -7.511 -0.462
0.973 3.733 11.285
Ba Sb Te
4 4 10
direct
0.123 0.618 0.210
0.877 0.408 0.790
0.587 0.118 0.210
0.413 0.908 0.790
0.000 0.010 0.000
0.500 0.510 0.000
0.216 0.325 0.500
0.784 0.825 0.500
0.246 0.722 0.964
0.754 0.758 0.036
0.217 0.222 0.964
0.782 0.258 0.036
0.244 0.051 0.286
0.756 0.765 0.714
0.542 0.551 0.286
0.458 0.265 0.714
0.076 0.679 0.500
0.924 0.179 0.500
```

theoretical density = 5.0 Mg/m³
formation energy without anion corrections = -74 kJ/mol of atoms

Material: Ba2SbTe
Method: DFT, PBE
State: relaxed

```
Ba2SbTe
1.0
-2.432 -5.962 -3.398
3.740 -6.246 -0.094
-2.272 5.090 4.684
Ba Sb Te
2 1 1
direct
0.000 0.000 0.000
0.750 0.250 0.500
0.500 0.500 0.000
0.250 0.750 0.500
```

energy above the most stable polymorph in this dataset = 239.9 meV per atom
DOS(E_F) = 0.642 states/eV per atom
theoretical density = 5.6 Mg/m³
formation energy without anion corrections = -102 kJ/mol of atoms

Material: Ba2SbTe4
Method: DFT, PBE
State: relaxed

```
Ba2SbTe4
1.0
7.952 0.000 0.168
0.000 7.757 0.000
-2.726 0.000 8.905
Ba Sb Te
4 2 8
direct
0.766 0.750 0.071
0.234 0.250 0.929
0.279 0.250 0.455
0.721 0.750 0.545
0.244 0.750 0.185
0.756 0.250 0.815
0.496 0.489 0.236
0.095 0.750 0.850
0.905 0.250 0.150
0.496 0.011 0.236
0.873 0.250 0.541
0.504 0.989 0.764
0.504 0.511 0.764
0.127 0.750 0.459
```

DOS(E_F) = 0.353 states/eV per atom
theoretical density = 5.4 Mg/m³
formation energy without anion corrections = -92 kJ/mol of atoms

Material: BaSbTe2
Method: DFT, PBE
State: relaxed

```
BaSbTe2
1.0
6.715 0.000 0.000
0.000 6.715 0.000
3.358 3.358 8.738
Sb Te Ba
2 4 2
direct
0.500 0.500 0.000
0.250 0.750 0.500
0.567 0.125 0.250
0.183 0.625 0.250
0.375 0.433 0.750
0.875 0.817 0.750
0.000 0.000 0.000
0.750 0.250 0.500
```

DOS(E_F) = 0.411 states/eV per atom
theoretical density = 4.3 Mg/m³
formation energy without anion corrections = -57 kJ/mol of atoms

Material: BaSbTe2
Method: DFT, PBE
State: relaxed

```
BaSbTe2
1.0
6.757 0.024 0.011
5.200 4.315 0.011
-0.009 -0.003 5.014
Ba Sb Te
1 1 2
direct
0.470 0.470 0.624
0.248 0.248 0.126
0.028 0.028 0.124
0.754 0.754 0.626
```

DOS(E_F) = 0.336 states/eV per atom
theoretical density = 5.9 Mg/m³
formation energy without anion corrections = -81 kJ/mol of atoms

Material: Ba3SbTe
Method: DFT, PBE
State: relaxed

```
Ba3SbTe
1.0
6.294 0.000 -0.006
-0.001 7.208 0.008
-0.024 -0.011 10.463
Ba Sb Te
6 2 2
direct
0.627 0.752 0.091
0.125 0.752 0.526
0.625 0.252 0.372
0.626 0.502 0.731
0.128 0.252 0.937
0.626 0.002 0.731
0.625 0.752 0.420
0.628 0.252 0.042
0.128 0.752 0.872
0.125 0.252 0.590
```

energy above the most stable polymorph in this dataset = 0.0 meV per atom
DOS(E_F) = 0.580 states/eV per atom
theoretical density = 4.6 Mg/m³
formation energy without anion corrections = -108 kJ/mol of atoms